[1]
Computed, not measured: crystalline LiAl2HRu at its relaxed geometry at the GGA-PBE level of DFT.

Geometry as POSCAR:
```
LiAl2HRu
1.0
4.225 0.000 0.000
0.000 3.368 0.000
0.000 0.000 4.225
Ru Al H Li
1 2 1 1
direct
0.000 0.500 0.000
0.500 0.000 0.000
0.000 0.000 0.500
0.000 0.000 0.000
0.500 0.500 0.500
```

Calculated values
**Electronic total energy**: -4.57 eV per atom
**Crystal system**: tetragonal
**Space group**: P4/mmm


[2]
Computed, not measured: crystalline Pr2MgZn2 at its relaxed geometry at the GGA-PBE level of DFT.

Geometry as POSCAR:
```
Pr2MgZn2
1.0
-2.418 0.851 2.551
-3.332 0.167 -3.215
0.234 -7.456 2.709
Zn Mg Pr
2 1 2
direct
0.000 0.798 0.596
0.000 0.202 0.404
0.000 0.000 0.000
0.500 0.372 0.744
0.500 0.628 0.256
```

Calculated values
**ΔE to the lowest computed polymorph**: 0.02 eV per formula unit
**Crystal system**: orthorhombic
**ΔE_f**: -118 kJ/mol of formula units
**Space group**: Cmmm